(1)
A plane-wave DFT calculation with PBE was carried out for crystalline KRuRh at its relaxed geometry.

Lattice parameters (Å, degrees): 6.501 7.819 2.762 90.00 102.25 107.50
Positions (direct):
Ru 0.520 0.733 0.636
Ru 0.660 0.527 0.206
Rh 0.660 0.017 0.205
Rh 0.520 0.242 0.636
K 0.087 0.376 0.924
K 0.093 0.883 0.919

Properties
spin magnetization = 0.00 μB per cell
SG = P-1
E_form = 1.633 eV per formula unit

=====

(2)
A plane-wave DFT calculation with PBE was carried out for crystalline ZnIr2PdPb at its relaxed geometry.

Lattice parameters (Å, degrees): 4.887 4.627 4.887 90.00 90.00 90.00
Each line ends with the local moment (μB).
Positions (direct):
Zn 0.000 0.500 0.000  -0.01
Pd 0.000 0.000 0.000  0.35
Ir 0.500 0.000 0.000  0.44
Ir 0.000 0.000 0.500  0.92
Pb 0.500 0.500 0.500  0.00

Properties
spin magnetization = 1.69 μB per cell
SG = P4/mmm
E_form = 5.540 eV per formula unit

=====

(3)
A plane-wave DFT calculation with PBE was carried out for crystalline SiAsOs3 at its relaxed geometry.

Lattice parameters (Å, degrees): 4.424 4.424 4.424 90.00 90.00 90.00
Positions (direct):
Si 0.000 0.000 0.000
Os 0.000 0.500 0.000
Os 0.500 0.000 0.000
Os 0.000 0.000 0.500
As 0.500 0.500 0.500

Properties
spin magnetization = 0.00 μB per cell
formation energy (no corrections) = 1332 meV per atom
SG = Pm-3m

=====

(4)
A plane-wave DFT calculation with PBE was carried out for crystalline NaAuN2F at its relaxed geometry.

Lattice parameters (Å, degrees): 4.621 4.621 3.960 90.00 90.00 90.00
Each line ends with the local moment (μB).
Positions (direct):
Na 0.000 0.000 0.000  0.03
N 0.000 0.500 0.000  1.64
N 0.500 0.000 0.000  1.64
Au 0.500 0.500 0.500  0.10
F 0.000 0.000 0.500  0.15

Properties
spin magnetization = 5.01 μB per cell
formation energy (no corrections) = 1467 meV per atom
SG = P4/mmm

=====

Copy entry 1 word for word.
A plane-wave DFT calculation with PBE was carried out for crystalline KRuRh at its relaxed geometry.

Lattice parameters (Å, degrees): 6.501 7.819 2.762 90.00 102.25 107.50
Positions (direct):
Ru 0.520 0.733 0.636
Ru 0.660 0.527 0.206
Rh 0.660 0.017 0.205
Rh 0.520 0.242 0.636
K 0.087 0.376 0.924
K 0.093 0.883 0.919

Properties
spin magnetization = 0.00 μB per cell
SG = P-1
E_form = 1.633 eV per formula unit

=====

Q: What is the spin magnetization in the second record?
A: 1.69 μB per cell